No. 1
Entry from the Alexandria database: crystalline PmSm2ScSe6 at its relaxed geometry (PBE-GGA).

Spin magnetization   0.0000 μB per atom
ΔE_f (raw)   -17.9 eV/f.u.
V   294.53 Å³ per cell

abc: 7.7008 7.7008 7.7008
angles: 56.20 56.20 56.20
Closest atoms and distances in Å follow each position.
Atoms (fractional coordinates):
1 Pm 0.0000 0.0000 0.0000  6 Se 2.89-2.98
2 Sm 0.2968 0.2968 0.2968  6 Se 2.92-2.97
3 Sm 0.8007 0.8007 0.8007  6 Se 2.89-2.98
4 Sc 0.4951 0.4951 0.4951  6 Se 2.73-2.76
5 Se 0.1149 0.7003 0.3971  1 Sc 2.76, 2 Sm 2.89-2.97, 1 Pm 2.89
6 Se 0.2270 0.6021 0.8720  1 Sc 2.73, 2 Sm 2.92-2.98, 1 Pm 2.98
7 Se 0.3971 0.1149 0.7003  1 Sc 2.76, 2 Sm 2.89-2.97, 1 Pm 2.89
8 Se 0.6021 0.8720 0.2270  1 Sc 2.73, 2 Sm 2.92-2.98, 1 Pm 2.98
9 Se 0.7003 0.3971 0.1149  1 Sc 2.76, 2 Sm 2.89-2.97, 1 Pm 2.89
10 Se 0.8720 0.2270 0.6021  1 Sc 2.73, 2 Sm 2.92-2.98, 1 Pm 2.98


No. 2
Entry from the Alexandria database: crystalline Pm2SmScSe4 at its relaxed geometry (PBE-GGA).

Spin magnetization   0.0000 μB per atom
ΔE_f (raw)   -14.0 eV/f.u.
V   197.51 Å³ per cell

abc: 7.1363 4.0676 7.1908
angles: 90.00 108.87 90.00
Closest atoms and distances in Å follow each position.
Atoms (fractional coordinates):
1 Pm 0.0000 0.0000 0.0000  6 Se 3.02
2 Pm 0.5000 0.5000 0.0000  6 Se 2.92-2.93
3 Sm 0.0000 0.5000 0.5000  6 Se 2.90-2.91
4 Sc 0.5000 0.0000 0.5000  6 Se 2.81
5 Se 0.2575 0.0000 0.7396  1 Sc 2.81, 2 Sm 2.90, 3 Pm 2.92-3.02
6 Se 0.2670 0.5000 0.2683  2 Sc 2.81, 1 Sm 2.91, 3 Pm 2.93-3.02
7 Se 0.7330 0.5000 0.7317  2 Sc 2.81, 1 Sm 2.91, 3 Pm 2.93-3.02
8 Se 0.7425 0.0000 0.2604  1 Sc 2.81, 2 Sm 2.90, 3 Pm 2.92-3.02


No. 3
Entry from the Alexandria database: crystalline PmSm3Sc2Se6 at its relaxed geometry (PBE-GGA).

Spin magnetization   0.0000 μB per atom
ΔE_f (raw)   -20.8 eV/f.u.
V   288.48 Å³ per cell

abc: 7.0578 7.0578 7.1005
angles: 99.53 99.53 120.16
Closest atoms and distances in Å follow each position.
Atoms (fractional coordinates):
1 Pm 0.0000 0.0000 0.0000  6 Se 2.90-2.94
2 Sm 0.1576 0.8424 0.5000  6 Se 2.92-2.99
3 Sm 0.5000 0.5000 0.5000  6 Se 2.88-2.99
4 Sm 0.8424 0.1576 0.5000  6 Se 2.92-2.99
5 Sc 0.3351 0.6649 0.0000  6 Se 2.75-2.80
6 Sc 0.6649 0.3351 0.0000  6 Se 2.75-2.80
7 Se 0.0783 0.4287 0.2370  2 Sc 2.79-2.80, 3 Sm 2.92-2.99, 1 Pm 2.94
8 Se 0.2731 0.2731 0.7705  2 Sc 2.75, 3 Sm 2.88-2.94, 1 Pm 2.90
9 Se 0.4287 0.0783 0.2370  2 Sc 2.79-2.80, 3 Sm 2.92-2.99, 1 Pm 2.94
10 Se 0.5713 0.9217 0.7630  2 Sc 2.79-2.80, 3 Sm 2.92-2.99, 1 Pm 2.94
11 Se 0.7269 0.7269 0.2295  2 Sc 2.75, 3 Sm 2.88-2.94, 1 Pm 2.90
12 Se 0.9217 0.5713 0.7630  2 Sc 2.79-2.80, 3 Sm 2.92-2.99, 1 Pm 2.94


Question: ΔE_f (raw) of number 3 (PmSm3Sc2Se6)?
Answer: -20.8 eV/f.u.


Question: Look up the V of the first one.
Answer: 294.53 Å³ per cell